A) DFT (GGA-PBE) results for a relaxed BaNi2RuS crystal.

Results
Space group: P4/mmm (123)

Lattice parameters (Å, degrees): 4.835 4.835 5.655 90.00 90.00 90.00
Fractional coordinates of all 5 atoms:
Ba (0.000, 0.000, 0.000)
Ni (0.000, 0.500, 0.000)
Ni (0.500, 0.000, 0.000)
Ru (0.500, 0.500, 0.500)
S (0.000, 0.000, 0.500)

B) DFT (GGA-PBE) results for a relaxed BaNi2RuS crystal.

Results
Space group: P4/mmm (123)

Lattice parameters (Å, degrees): 4.773 4.773 4.514 90.00 90.00 90.00
Fractional coordinates of all 5 atoms:
Ba (0.000, 0.000, 0.000)
Ni (0.000, 0.500, 0.500)
Ni (0.500, 0.000, 0.500)
Ru (0.500, 0.500, 0.500)
S (0.500, 0.500, 0.000)

Which of them is the least stable? Correct choice: A).

A) DFT (GGA-PBE) results for a relaxed BaNi3S crystal.

Results
Space group: Pm-3m (221)

Lattice parameters (Å, degrees): 4.881 4.881 4.881 90.00 90.00 90.00
Fractional coordinates of all 5 atoms:
Ba (0.000, 0.000, 0.000)
Ni (0.000, 0.000, 0.500)
Ni (0.000, 0.500, 0.000)
Ni (0.500, 0.000, 0.000)
S (0.500, 0.500, 0.500)

B) DFT (GGA-PBE) results for a relaxed BaNi3S crystal.

Results
Space group: Pm-3m (221)

Lattice parameters (Å, degrees): 4.434 4.434 4.434 90.00 90.00 90.00
Fractional coordinates of all 5 atoms:
Ba (0.000, 0.000, 0.000)
Ni (0.000, 0.500, 0.500)
Ni (0.500, 0.000, 0.500)
Ni (0.500, 0.500, 0.000)
S (0.500, 0.500, 0.500)

Which of them is the least stable? Correct choice: A).

A) DFT (GGA-PBE) results for a relaxed BaNiSb3 crystal.

Results
Space group: Pm (6)

Lattice parameters (Å, degrees): 6.013 6.785 7.064 90.00 90.03 90.00
Fractional coordinates of all 10 atoms:
Ba (0.000, 0.000, 0.000)
Ba (0.499, 0.500, 0.317)
Ni (0.297, 0.000, 0.587)
Ni (0.797, 0.500, 0.729)
Sb (0.101, 0.500, 0.973)
Sb (0.486, 0.257, 0.809)
Sb (0.486, 0.743, 0.809)
Sb (0.601, 0.000, 0.343)
Sb (0.986, 0.243, 0.508)
Sb (0.986, 0.757, 0.508)

B) DFT (GGA-PBE) results for a relaxed BaNiSb3 crystal.

Results
Space group: Pm-3m (221)

Lattice parameters (Å, degrees): 5.210 5.210 5.210 90.00 90.00 90.00
Fractional coordinates of all 5 atoms:
Ba (0.000, 0.000, 0.000)
Ni (0.500, 0.500, 0.500)
Sb (0.000, 0.500, 0.500)
Sb (0.500, 0.000, 0.500)
Sb (0.500, 0.500, 0.000)

Which of them is the least stable? Correct choice: B).

A) DFT (GGA-PBE) results for a relaxed Ba2NiSb2 crystal.

Results
Space group: P4/mbm (127)

Lattice parameters (Å, degrees): 7.395 7.395 5.547 90.00 90.00 90.00
Fractional coordinates of all 10 atoms:
Ba (0.171, 0.329, 0.000)
Ba (0.329, 0.829, 0.000)
Ba (0.671, 0.171, 0.000)
Ba (0.829, 0.671, 0.000)
Ni (0.000, 0.000, 0.500)
Ni (0.500, 0.500, 0.500)
Sb (0.147, 0.647, 0.500)
Sb (0.353, 0.147, 0.500)
Sb (0.647, 0.853, 0.500)
Sb (0.853, 0.353, 0.500)

B) DFT (GGA-PBE) results for a relaxed Ba2NiSb2 crystal.

Results
Space group: P-1 (2)

Lattice parameters (Å, degrees): 4.455 6.767 12.169 97.63 100.51 109.18
Fractional coordinates of all 10 atoms:
Ba (0.058, 0.247, 0.368)
Ba (0.186, 0.772, 0.101)
Ba (0.814, 0.228, 0.899)
Ba (0.942, 0.753, 0.632)
Ni (0.256, 0.330, 0.685)
Ni (0.744, 0.670, 0.315)
Sb (0.356, 0.811, 0.399)
Sb (0.498, 0.649, 0.847)
Sb (0.502, 0.351, 0.153)
Sb (0.644, 0.189, 0.601)

Which of them is the least stable? Correct choice: A).

A) DFT (GGA-PBE) results for a relaxed BaScNi2 crystal.

Results
Space group: P4/mmm (123)

Lattice parameters (Å, degrees): 4.964 4.964 3.377 90.00 90.00 90.00
Fractional coordinates of all 4 atoms:
Ba (0.000, 0.000, 0.000)
Sc (0.500, 0.500, 0.000)
Ni (0.000, 0.500, 0.500)
Ni (0.500, 0.000, 0.500)

B) DFT (GGA-PBE) results for a relaxed BaScNi2 crystal.

Results
Space group: F-43m (216)

Lattice parameters (Å, degrees): 4.758 4.758 4.758 60.00 60.00 60.00
Fractional coordinates of all 4 atoms:
Ba (0.000, 0.000, 0.000)
Sc (0.250, 0.250, 0.250)
Ni (0.500, 0.500, 0.500)
Ni (0.750, 0.750, 0.750)

Which of them is the least stable? Correct choice: B).

A) DFT (GGA-PBE) results for a relaxed BaScNi3 crystal.

Results
Space group: Pm-3m (221)

Lattice parameters (Å, degrees): 4.908 4.908 4.908 90.00 90.00 90.00
Fractional coordinates of all 5 atoms:
Ba (0.000, 0.000, 0.000)
Sc (0.500, 0.500, 0.500)
Ni (0.000, 0.000, 0.500)
Ni (0.000, 0.500, 0.000)
Ni (0.500, 0.000, 0.000)

B) DFT (GGA-PBE) results for a relaxed BaScNi3 crystal.

Results
Space group: Pm-3m (221)

Lattice parameters (Å, degrees): 4.822 4.822 4.822 90.00 90.00 90.00
Fractional coordinates of all 5 atoms:
Ba (0.000, 0.000, 0.000)
Sc (0.500, 0.500, 0.500)
Ni (0.000, 0.500, 0.500)
Ni (0.500, 0.000, 0.500)
Ni (0.500, 0.500, 0.000)

Which of them is the least stable? Correct choice: A).